DFT (PBE) results for an optimized crystal structure of ZrSbO3.

Summary:
- raw formation energy (kJ/mol of atoms) = -182
- mass density (kg/m3) = 5886
- raw total energy (eV per atom) = -7.398

Unit cell a=4.1914 b=4.1914 c=4.1914 alpha=90.00 beta=90.00 gamma=90.00
Element x y z (fractional)
Zr1 0.0000 0.0000 0.0000
Sb1 0.5000 0.5000 0.5000
O1 0.0000 0.0000 0.5000
O2 0.0000 0.5000 0.0000
O3 0.5000 0.0000 0.0000

---

DFT (PBE) results for an optimized crystal structure of ZrSb2O.

Summary:
- raw formation energy (kJ/mol of atoms) = -29
- mass density (kg/m3) = 6981
- raw total energy (eV per atom) = -5.740

Unit cell a=6.0082 b=6.0082 c=6.0082 alpha=110.25 beta=110.25 gamma=107.93
Element x y z (fractional)
Zr1 0.0000 0.0000 0.0000
Zr2 0.7500 0.2500 0.5000
Sb1 0.2115 0.6250 0.0865
Sb2 0.3750 0.4615 0.5865
Sb3 0.5385 0.1250 0.9135
Sb4 0.8750 0.7885 0.4135
O1 0.2500 0.7500 0.5000
O2 0.5000 0.5000 0.0000

---

DFT (PBE) results for an optimized crystal structure of Zr2SbO.

Summary:
- raw formation energy (kJ/mol of atoms) = -127
- offset from the most stable computed form (meV per atom) = 0.0
- mass density (kg/m3) = 7340
- raw total energy (eV per atom) = -7.856

Unit cell a=6.8967 b=6.8967 c=6.8967 alpha=29.96 beta=29.96 gamma=29.96
Element x y z (fractional)
Zr1 0.2226 0.2226 0.2226
Zr2 0.7774 0.7774 0.7774
Sb1 0.0000 0.0000 0.0000
O1 0.5000 0.5000 0.5000

---

DFT (PBE) results for an optimized crystal structure of Zr2SbO.

Summary:
- raw formation energy (kJ/mol of atoms) = -70
- offset from the most stable computed form (meV per atom) = 590.3
- mass density (kg/m3) = 7165
- raw total energy (eV per atom) = -7.265

Unit cell a=4.7170 b=4.7170 c=4.7170 alpha=60.00 beta=60.00 gamma=60.00
Element x y z (fractional)
Zr1 0.2500 0.2500 0.2500
Zr2 0.7500 0.7500 0.7500
Sb1 0.0000 0.0000 0.0000
O1 0.5000 0.5000 0.5000

---

DFT (PBE) results for an optimized crystal structure of ScO.

Summary:
- raw formation energy (kJ/mol of atoms) = -278
- mass density (kg/m3) = 3029
- raw total energy (eV per atom) = -8.525

Unit cell a=8.0763 b=8.0763 c=3.5488 alpha=90.00 beta=90.00 gamma=120.00
Element x y z (fractional)
Sc1 0.1252 0.6854 0.2500
Sc2 0.3146 0.4398 0.2500
Sc3 0.4398 0.1252 0.7500
Sc4 0.5602 0.8748 0.2500
Sc5 0.6854 0.5602 0.7500
Sc6 0.8748 0.3146 0.7500
O1 0.0311 0.3719 0.2500
O2 0.3408 0.9689 0.2500
O3 0.3719 0.3408 0.7500
O4 0.6281 0.6592 0.2500
O5 0.6592 0.0311 0.7500
O6 0.9689 0.6281 0.7500

---

DFT (PBE) results for an optimized crystal structure of Sc2O3.

Summary:
- raw formation energy (kJ/mol of atoms) = -339
- mass density (kg/m3) = 3832
- raw total energy (eV per atom) = -9.018

Unit cell a=5.6977 b=5.6977 c=5.6977 alpha=56.28 beta=56.28 gamma=56.28
Element x y z (fractional)
Sc1 0.1440 0.1440 0.1440
Sc2 0.3560 0.3560 0.3560
Sc3 0.6440 0.6440 0.6440
Sc4 0.8560 0.8560 0.8560
O1 0.0497 0.7500 0.4503
O2 0.2500 0.5497 0.9503
O3 0.4503 0.0497 0.7500
O4 0.5497 0.9503 0.2500
O5 0.7500 0.4503 0.0497
O6 0.9503 0.2500 0.5497